(1)
Os2SeCl: optimized geometry, PBE.

Properties
D(E_F) in states/eV/cell: 3.02
Total magnetization in μB/cell: 0.000
Electronic total energy in eV/cell: -26.10
Raw formation energy in eV/atom: 0.42
Polymorph energy (0 for the lowest one) in eV/f.u.: 0.80

a b c (Å): 9.606 9.606 9.606
angles (deg): 17.58 17.58 17.58
Atoms (fractional coordinates):
1 Cl 0.731 0.731 0.731
2 Os 0.994 0.994 0.994
3 Os 0.256 0.256 0.256
4 Se 0.520 0.520 0.520

=====

(2)
Pm12SiIr6: optimized geometry, PBE.

Properties
D(E_F) in states/eV/cell: 12.65
Total magnetization in μB/cell: 0.000
Electronic total energy in eV/cell: -125.53
Raw formation energy in eV/atom: -0.52

a b c (Å): 8.433 8.433 8.433
angles (deg): 100.81 100.81 100.81
Atoms (fractional coordinates):
1 Pm 0.824 0.578 0.423
2 Pm 0.423 0.824 0.578
3 Pm 0.578 0.423 0.824
4 Pm 0.176 0.422 0.577
5 Pm 0.577 0.176 0.422
6 Pm 0.422 0.577 0.176
7 Pm 0.072 0.933 0.327
8 Pm 0.067 0.673 0.928
9 Pm 0.673 0.928 0.067
10 Pm 0.928 0.067 0.673
11 Pm 0.933 0.327 0.072
12 Pm 0.327 0.072 0.933
13 Si 0.000 0.000 0.000
14 Ir 0.695 0.863 0.387
15 Ir 0.613 0.305 0.137
16 Ir 0.137 0.613 0.305
17 Ir 0.305 0.137 0.613
18 Ir 0.387 0.695 0.863
19 Ir 0.863 0.387 0.695

=====

(3)
Pm6ErSc3: optimized geometry, PBE.

Properties
D(E_F) in states/eV/cell: 31.16
E_form in eV/atom: 0.140
Total magnetization in μB/cell: 0.000
Electronic total energy in eV/cell: -101.32
Polymorph energy (0 for the lowest one) in eV/f.u.: 0.00

a b c (Å): 6.299 11.438 11.438
angles (deg): 130.75 90.00 90.00
Atoms (fractional coordinates):
1 Pm 0.085 0.736 0.621
2 Pm 0.585 0.621 0.736
3 Pm 0.320 0.457 0.895
4 Pm 0.820 0.895 0.457
5 Pm 0.275 0.985 0.015
6 Pm 0.802 0.302 0.698
7 Pm 0.302 0.698 0.302
8 Pm 0.775 0.015 0.985
9 Pm 0.320 0.105 0.543
10 Pm 0.820 0.543 0.105
11 Pm 0.085 0.379 0.264
12 Pm 0.585 0.264 0.379
13 Er 0.016 0.154 0.846
14 Er 0.516 0.846 0.154
15 Sc 0.489 0.959 0.707
16 Sc 0.989 0.707 0.959
17 Sc 0.103 0.417 0.583
18 Sc 0.603 0.583 0.417
19 Sc 0.989 0.041 0.293
20 Sc 0.489 0.293 0.041

=====

(4)
LiDyCd2: optimized geometry, PBE.

Properties
D(E_F) in states/eV/cell: 2.62
E_form in eV/atom: -0.098
Total magnetization in μB/cell: 0.000
Electronic total energy in eV/cell: -8.74
Polymorph energy (0 for the lowest one) in eV/f.u.: 0.66

a b c (Å): 3.401 3.401 9.804
angles (deg): 80.01 80.01 60.00
Atoms (fractional coordinates):
1 Li 0.668 0.668 0.997
2 Dy 0.499 0.499 0.502
3 Cd 0.076 0.076 0.773
4 Cd 0.257 0.257 0.228

=====

(5)
TaCoN: optimized geometry, PBE.

Properties
D(E_F) in states/eV/cell: 3.88
Total magnetization in μB/cell: 0.003
Electronic total energy in eV/cell: -57.14
Raw formation energy in eV/atom: -0.43

a b c (Å): 3.717 3.717 6.361
angles (deg): 73.01 73.01 60.00
Atoms (fractional coordinates):
1 Ta 0.599 0.599 0.203
2 Ta 0.401 0.401 0.797
3 N 0.283 0.283 0.150
4 N 0.717 0.717 0.850
5 Co 0.823 0.823 0.532
6 Co 0.177 0.177 0.468

=====

(6)
Np2SbN2: optimized geometry, PBE.

Properties
D(E_F) in states/eV/cell: 10.82
Total magnetization in μB/cell: 5.517
Electronic total energy in eV/cell: -51.74
Raw formation energy in eV/atom: -1.02

a b c (Å): 3.843 3.843 6.808
angles (deg): 73.63 73.63 90.00
Site moments in Bohr magnetons follow the coordinates.
Atoms (fractional coordinates):
1 Np 0.660 0.660 0.681  2.92
2 Np 0.340 0.340 0.319  2.92
3 Sb 0.000 0.000 0.000  -0.11
4 N 0.250 0.750 0.500  -0.18
5 N 0.750 0.250 0.500  -0.18

=====

(7)
GaSn3: optimized geometry, PBE.

Properties
D(E_F) in states/eV/cell: 4.09
E_form in eV/atom: 0.069
Total magnetization in μB/cell: 0.000
Electronic total energy in eV/cell: -29.51

a b c (Å): 6.737 6.737 5.204
angles (deg): 90.00 90.00 120.00
Atoms (fractional coordinates):
1 Ga 0.333 0.667 0.750
2 Ga 0.667 0.333 0.250
3 Sn 0.170 0.340 0.250
4 Sn 0.660 0.830 0.250
5 Sn 0.170 0.830 0.250
6 Sn 0.830 0.660 0.750
7 Sn 0.340 0.170 0.750
8 Sn 0.830 0.170 0.750

=====

(8)
YSc2Au: optimized geometry, PBE.

Properties
D(E_F) in states/eV/cell: 5.11
E_form in eV/atom: -0.213
Total magnetization in μB/cell: 0.046
Electronic total energy in eV/cell: -23.26
Polymorph energy (0 for the lowest one) in eV/f.u.: 0.83

a b c (Å): 9.881 9.881 9.881
angles (deg): 20.18 20.18 20.18
Atoms (fractional coordinates):
1 Au 0.745 0.745 0.745
2 Sc 0.009 0.009 0.009
3 Sc 0.253 0.253 0.253
4 Y 0.492 0.492 0.492